(1)
This record from Alexandria describes crystalline Al3PbCl12 at its relaxed geometry. The functional is GGA-PBE.

```
Al3PbCl12
1.0
5.6226 3.2462 11.4283
-5.6226 3.2462 11.4283
0.0000 -6.4924 11.4283
Al Pb Cl
6 2 24
Direct
0.9997 0.3718 0.6285
0.1285 0.8718 0.4997
0.3718 0.6285 0.9997
0.4997 0.1285 0.8718
0.6285 0.9997 0.3718
0.8718 0.4997 0.1285
0.2069 0.2069 0.2069
0.7069 0.7069 0.7069
0.0318 0.5358 0.5942
0.0358 0.5318 0.0942
0.0571 0.3872 0.4268
0.0942 0.0358 0.5318
0.1167 0.1612 0.7422
0.1612 0.7422 0.1167
0.2422 0.6612 0.6167
0.2514 0.9288 0.2689
0.2689 0.2514 0.9288
0.3872 0.4268 0.0571
0.4268 0.0571 0.3872
0.4288 0.7514 0.7689
0.5318 0.0942 0.0358
0.5358 0.5942 0.0318
0.5571 0.9268 0.8872
0.5942 0.0318 0.5358
0.6167 0.2422 0.6612
0.6612 0.6167 0.2422
0.7422 0.1167 0.1612
0.7514 0.7689 0.4288
0.7689 0.4288 0.7514
0.8872 0.5571 0.9268
0.9268 0.8872 0.5571
0.9288 0.2689 0.2514
```

Values from the calculation:
VASP energy = -3.63 eV/atom
symmetry = R3c

---

(2)
This record from Alexandria describes crystalline Ac5Pr12Dy2 at its relaxed geometry. The functional is GGA-PBE.

```
Ac5Pr12Dy2
1.0
11.6458 -3.7114 0.0000
11.6458 3.7114 0.0000
-3.2440 0.0000 8.4961
Ac Pr Dy
5 12 2
Direct
0.0000 0.0000 0.0000
0.2453 0.2453 0.9843
0.3491 0.3491 0.4105
0.6509 0.6509 0.5895
0.7547 0.7547 0.0157
0.0535 0.5479 0.7102
0.1385 0.1385 0.5474
0.1559 0.6343 0.1243
0.3657 0.8441 0.8757
0.4521 0.9465 0.2898
0.4534 0.4534 0.8070
0.5466 0.5466 0.1930
0.5479 0.0535 0.7102
0.6343 0.1559 0.1243
0.8441 0.3657 0.8757
0.8615 0.8615 0.4526
0.9465 0.4521 0.2898
0.2590 0.7410 0.5000
0.7410 0.2590 0.5000
```

Values from the calculation:
VASP energy = -4.44 eV/atom
symmetry = C2/m
calculated formation energy = 0.14 eV per atom

---

(3)
This record from Alexandria describes crystalline AcCeScSi2 at its relaxed geometry. The functional is GGA-PBE.

```
AcCeScSi2
1.0
4.4985 0.0000 0.0000
0.0000 4.4985 0.0000
0.0000 0.0000 12.4537
Ac Ce Sc Si
2 2 2 4
Direct
0.0000 0.0000 0.0000
0.5000 0.5000 0.5000
0.0000 0.5000 0.2500
0.5000 0.0000 0.7500
0.0000 0.5000 0.7500
0.5000 0.0000 0.2500
0.0000 0.0000 0.4014
0.0000 0.0000 0.5986
0.5000 0.5000 0.0986
0.5000 0.5000 0.9014
```

Values from the calculation:
VASP energy = -5.97 eV/atom
symmetry = I-4m2

---

(4)
This record from Alexandria describes crystalline CuRe2SnCl at its relaxed geometry. The functional is GGA-PBE.

```
CuRe2SnCl
1.0
5.1506 0.0000 0.0000
0.0000 5.1506 0.0000
0.0000 0.0000 5.2089
Cu Re Sn Cl
1 2 1 1
Direct
0.0000 0.0000 0.0000
0.0000 0.5000 0.5000
0.5000 0.0000 0.5000
0.5000 0.5000 0.5000
0.5000 0.5000 0.0000
```

Values from the calculation:
VASP energy = -4.63 eV/atom
offset from the most stable computed form = 50.54 kJ per mole of atoms
symmetry = P4/mmm

---

(5)
This record from Alexandria describes crystalline NaLi2SbH at its relaxed geometry. The functional is GGA-PBE.

```
NaLi2SbH
1.0
3.5601 0.0000 0.0000
0.0000 4.7916 0.0000
0.0000 0.0000 5.1147
Na Li Sb H
1 2 1 1
Direct
0.0000 0.0000 0.0000
0.0000 0.5000 0.5000
0.5000 0.5000 0.0000
0.5000 0.0000 0.5000
0.0000 0.5000 0.0000
```

Values from the calculation:
VASP energy = -2.90 eV/atom
symmetry = Pmmm

---

(6)
This record from Alexandria describes crystalline KInHI2 at its relaxed geometry. The functional is GGA-PBE.

```
KInHI2
1.0
6.3349 0.0000 0.0000
0.0000 6.3349 0.0000
0.0000 0.0000 4.1069
K In H I
1 1 1 2
Direct
0.0000 0.0000 0.0000
0.5000 0.5000 0.5000
0.5000 0.5000 0.0000
0.0000 0.5000 0.5000
0.5000 0.0000 0.5000
```

Values from the calculation:
VASP energy = -2.68 eV/atom
symmetry = P4/mmm

---

(7)
This record from Alexandria describes crystalline BaTeP2 at its relaxed geometry. The functional is GGA-PBE.

```
BaTeP2
1.0
4.6669 0.0000 0.0000
0.0000 4.6669 0.0000
0.0000 0.0000 9.6018
Ba Te P
2 2 4
Direct
0.0000 0.0000 0.0000
0.5000 0.5000 0.5000
0.0000 0.0000 0.5000
0.5000 0.5000 0.0000
0.0000 0.5000 0.2500
0.0000 0.5000 0.7500
0.5000 0.0000 0.2500
0.5000 0.0000 0.7500
```

Values from the calculation:
VASP energy = -3.90 eV/atom
symmetry = I4/mmm

---

(8)
This record from Alexandria describes crystalline Co2HgRu at its relaxed geometry. The functional is GGA-PBE.

```
Co2HgRu
1.0
8.6813 0.0000 0.0000
0.0000 2.8207 0.0000
-0.9347 0.0000 4.8107
Co Hg Ru
4 2 2
Direct
0.2409 0.0000 0.1981
0.2591 0.5000 0.8019
0.7409 0.5000 0.1981
0.7591 0.0000 0.8019
0.0000 0.0000 0.5000
0.5000 0.5000 0.5000
0.0000 0.5000 0.0000
0.5000 0.0000 0.0000
```

Values from the calculation:
VASP energy = -5.48 eV/atom
symmetry = C2/m
calculated formation energy = 0.47 eV per atom

---

(9)
This record from Alexandria describes crystalline PmDyGa2 at its relaxed geometry. The functional is GGA-PBE.

```
PmDyGa2
1.0
4.4118 0.0000 0.0000
0.0000 4.0982 0.0000
-2.2028 0.0000 5.5373
Pm Dy Ga
1 1 2
Direct
0.0000 0.0000 0.0000
0.7226 0.5000 0.4424
0.2844 0.0000 0.5654
0.4318 0.5000 0.8641
```

Values from the calculation:
VASP energy = -4.46 eV/atom
symmetry = Pm
calculated formation energy = -0.61 eV per atom

---

(10)
This record from Alexandria describes crystalline KTcPt2 at its relaxed geometry. The functional is GGA-PBE.

```
KTcPt2
1.0
8.3351 0.0000 0.0000
0.0000 2.7272 0.0000
-0.4894 0.0000 7.4818
K Tc Pt
2 2 4
Direct
0.0000 0.0000 0.0000
0.5000 0.5000 0.0000
0.0000 0.5000 0.5000
0.5000 0.0000 0.5000
0.2451 0.0000 0.6706
0.2549 0.5000 0.3294
0.7451 0.5000 0.6706
0.7549 0.0000 0.3294
```

Values from the calculation:
VASP energy = -5.58 eV/atom
offset from the most stable computed form = 21.28 kJ per mole of atoms
symmetry = C2/m
calculated formation energy = 0.30 eV per atom

---

(11)
This record from Alexandria describes crystalline Th2HPb at its relaxed geometry. The functional is GGA-PBE.

```
Th2HPb
1.0
6.1484 0.0000 0.0000
0.0000 3.5594 0.0000
-2.0693 0.0000 8.7958
Th H Pb
4 2 2
Direct
0.0000 0.0000 0.0000
0.2131 0.0000 0.6364
0.5000 0.5000 0.0000
0.7131 0.5000 0.6364
0.1067 0.5000 0.8188
0.6067 0.0000 0.8188
0.2690 0.5000 0.3177
0.7690 0.0000 0.3177
```

Values from the calculation:
VASP energy = -5.67 eV/atom
offset from the most stable computed form = 3.27 kJ per mole of atoms
symmetry = Cm

---

(12)
This record from Alexandria describes crystalline KReCl2 at its relaxed geometry. The functional is GGA-PBE.

```
KReCl2
1.0
4.0711 0.0000 0.0000
0.0000 4.0711 0.0000
0.0000 0.0000 14.3934
K Re Cl
2 2 4
Direct
0.0000 0.0000 0.0000
0.5000 0.5000 0.5000
0.0000 0.5000 0.7500
0.5000 0.0000 0.2500
0.0000 0.0000 0.5000
0.0000 0.5000 0.2500
0.5000 0.0000 0.7500
0.5000 0.5000 0.0000
```

Values from the calculation:
VASP energy = -3.89 eV/atom
offset from the most stable computed form = 48.10 kJ per mole of atoms
symmetry = I-4m2

---

(13)
This record from Alexandria describes crystalline Tl2TePt at its relaxed geometry. The functional is GGA-PBE.

```
Tl2TePt
1.0
6.0507 0.0000 0.0000
0.0000 6.0507 0.0000
0.0000 0.0000 15.2734
Tl Te Pt
8 4 4
Direct
0.1876 0.2500 0.1250
0.2500 0.6876 0.3750
0.2500 0.8124 0.8750
0.3124 0.2500 0.6250
0.6876 0.7500 0.6250
0.7500 0.1876 0.8750
0.7500 0.3124 0.3750
0.8124 0.7500 0.1250
0.0000 0.0000 0.5000
0.0000 0.5000 0.7500
0.5000 0.0000 0.2500
0.5000 0.5000 0.0000
0.0000 0.0000 0.0000
0.0000 0.5000 0.2500
0.5000 0.0000 0.7500
0.5000 0.5000 0.5000
```

Values from the calculation:
VASP energy = -3.36 eV/atom
offset from the most stable computed form = 29.67 kJ per mole of atoms
symmetry = I-42d

---

(14)
This record from Alexandria describes crystalline CsGaPS2 at its relaxed geometry. The functional is GGA-PBE.

```
CsGaPS2
1.0
5.0727 0.0000 0.0000
0.0000 5.0727 0.0000
0.0000 0.0000 4.8946
Cs Ga P S
1 1 1 2
Direct
0.0000 0.0000 0.0000
0.5000 0.5000 0.5000
0.5000 0.5000 0.0000
0.0000 0.5000 0.5000
0.5000 0.0000 0.5000
```

Values from the calculation:
VASP energy = -3.45 eV/atom
offset from the most stable computed form = 0.00 kJ per mole of atoms
symmetry = P4/mmm

---

(15)
This record from Alexandria describes crystalline Tl2BiO4 at its relaxed geometry. The functional is GGA-PBE.

```
Tl2BiO4
1.0
4.3860 0.0000 0.0000
0.0000 4.3860 0.0000
0.0000 0.0000 12.6816
Tl Bi O
4 2 8
Direct
0.0000 0.0000 0.1501
0.0000 0.0000 0.8499
0.5000 0.5000 0.3499
0.5000 0.5000 0.6501
0.0000 0.0000 0.5000
0.5000 0.5000 0.0000
0.0000 0.0000 0.3316
0.0000 0.0000 0.6684
0.0000 0.5000 0.0000
0.0000 0.5000 0.5000
0.5000 0.0000 0.0000
0.5000 0.0000 0.5000
0.5000 0.5000 0.1684
0.5000 0.5000 0.8316
```

Values from the calculation:
VASP energy = -4.64 eV/atom
offset from the most stable computed form = 20.79 kJ per mole of atoms
symmetry = I4/mmm

---

(16)
This record from Alexandria describes crystalline InBiPd4 at its relaxed geometry. The functional is GGA-PBE.

```
InBiPd4
1.0
5.6719 0.0000 0.0000
0.0000 7.6611 0.0000
-1.9992 0.0000 5.2910
In Bi Pd
2 2 8
Direct
0.0000 0.0000 0.0000
0.5000 0.5000 0.0000
0.0000 0.5000 0.5000
0.5000 0.0000 0.5000
0.2478 0.2998 0.2436
0.2478 0.7002 0.2436
0.2522 0.2002 0.7564
0.2522 0.7998 0.7564
0.7478 0.2002 0.2436
0.7478 0.7998 0.2436
0.7522 0.2998 0.7564
0.7522 0.7002 0.7564
```

Values from the calculation:
VASP energy = -4.82 eV/atom
offset from the most stable computed form = 6.83 kJ per mole of atoms
symmetry = C2/m
calculated formation energy = -0.26 eV per atom

---

(17)
This record from Alexandria describes crystalline Tb6Y3Er2 at its relaxed geometry. The functional is GGA-PBE.

```
Tb6Y3Er2
1.0
-2.3650 2.3650 16.5430
2.3650 -2.3650 16.5430
2.3650 2.3650 -16.5430
Tb Y Er
6 3 2
Direct
0.1199 0.6199 0.5000
0.1941 0.1941 0.0000
0.3801 0.8801 0.5000
0.6199 0.1199 0.5000
0.8059 0.8059 0.0000
0.8801 0.3801 0.5000
0.2987 0.2987 0.0000
0.5000 0.5000 0.0000
0.7013 0.7013 0.0000
0.0458 0.0458 0.0000
0.9542 0.9542 0.0000
```

Values from the calculation:
VASP energy = -4.84 eV/atom
symmetry = I4/mmm
calculated formation energy = 0.28 eV per atom

---

(18)
This record from Alexandria describes crystalline La5Sc4Ge4 at its relaxed geometry. The functional is GGA-PBE.

```
La5Sc4Ge4
1.0
-6.3064 6.3064 2.1786
6.3064 -6.3064 2.1786
6.3064 6.3064 -2.1786
La Sc Ge
5 4 4
Direct
0.0000 0.0000 0.0000
0.2992 0.6305 0.9297
0.3695 0.2992 0.6686
0.6305 0.7008 0.3314
0.7008 0.3695 0.0703
0.0983 0.4140 0.5123
0.4140 0.9017 0.3157
0.5860 0.0983 0.6843
0.9017 0.5860 0.4877
0.0616 0.7462 0.8078
0.2538 0.0616 0.3155
0.7462 0.9384 0.6845
0.9384 0.2538 0.1922
```

Values from the calculation:
VASP energy = -5.88 eV/atom
symmetry = I4/m
calculated formation energy = -0.62 eV per atom

---

(19)
This record from Alexandria describes crystalline La3Tb6PrTm2 at its relaxed geometry. The functional is GGA-PBE.

```
La3Tb6PrTm2
1.0
3.1235 -5.4116 0.0000
3.1235 5.4116 0.0000
-2.0838 0.0000 11.7721
La Tb Pr Tm
3 6 1 2
Direct
0.0000 0.0000 0.0000
0.3328 0.6672 0.0000
0.6672 0.3328 0.0000
0.0838 0.4185 0.2550
0.2469 0.2469 0.7453
0.4185 0.0838 0.2550
0.5815 0.9162 0.7450
0.7531 0.7531 0.2547
0.9162 0.5815 0.7450
0.5000 0.5000 0.5000
0.1668 0.8332 0.5000
0.8332 0.1668 0.5000
```

Values from the calculation:
VASP energy = -4.67 eV/atom
symmetry = C2/m
calculated formation energy = 0.02 eV per atom

---

(20)
This record from Alexandria describes crystalline Rb3Ce3PuO8 at its relaxed geometry. The functional is GGA-PBE.

```
Rb3Ce3PuO8
1.0
3.6210 2.0906 6.6417
-3.6210 2.0906 6.6417
0.0000 -4.1811 6.6417
Rb Ce Pu O
3 3 1 8
Direct
0.0000 0.5000 0.5000
0.5000 0.0000 0.5000
0.5000 0.5000 0.0000
0.0000 0.0000 0.5000
0.0000 0.5000 0.0000
0.5000 0.0000 0.0000
0.5000 0.5000 0.5000
0.2256 0.2256 0.2256
0.2271 0.7191 0.7191
0.2809 0.2809 0.7729
0.2809 0.7729 0.2809
0.7191 0.2271 0.7191
0.7191 0.7191 0.2271
0.7729 0.2809 0.2809
0.7744 0.7744 0.7744
```

Values from the calculation:
VASP energy = -7.67 eV/atom
symmetry = R-3m